# 1
Entry from Alexandria: an optimized crystal structure of CeErPu2 (PBE).

a = 3.3980 Å, b = 3.3980 Å, c = 11.0899 Å
α = 81.19°, β = 81.19°, γ = 60.00°
Last column: magnetic moment on the atom in μB.
Fractional positions:
Ce 0.6661 0.6661 0.0017  -0.14
Er 0.5002 0.5002 0.4993  0.18
Pu 0.0801 0.0801 0.7597  5.32
Pu 0.2535 0.2535 0.2394  5.38

Computed properties:
Relative energy among the computed polymorphs, eV/atom: 0.023
Calculated density, g cm⁻³: 12.1
Symmetry: R3m
E, eV per atom: -9.624
Calculated volume, Å³/cell: 109


# 2
Entry from Alexandria: an optimized crystal structure of LiYAs2 (PBE).

a = 4.8956 Å, b = 4.8956 Å, c = 4.8956 Å
α = 60.00°, β = 60.00°, γ = 60.00°
Fractional positions:
Y 0.5000 0.5000 0.5000
As 0.2500 0.2500 0.2500
As 0.7500 0.7500 0.7500
Li 0.0000 0.0000 0.0000

Computed properties:
Relative energy among the computed polymorphs, eV/atom: 0.142
Calculated density, g cm⁻³: 4.9
Symmetry: Fm-3m
E, eV per atom: -5.128
Calculated volume, Å³/cell: 83


# 3
Entry from Alexandria: an optimized crystal structure of PaVTc2 (PBE).

a = 3.1001 Å, b = 3.1001 Å, c = 6.9824 Å
α = 90.00°, β = 90.00°, γ = 90.00°
Fractional positions:
Pa 0.5000 0.5000 0.0000
Tc 0.0000 0.0000 0.7090
Tc 0.0000 0.0000 0.2910
V 0.5000 0.5000 0.5000

Computed properties:
Relative energy among the computed polymorphs, eV/atom: 0.015
Calculated density, g cm⁻³: 11.8
Symmetry: P4/mmm
E, eV per atom: -9.952
Calculated volume, Å³/cell: 67


# 4
Entry from Alexandria: an optimized crystal structure of NpPd6Au3 (PBE).

a = 4.7028 Å, b = 7.7096 Å, c = 10.2365 Å
α = 112.87°, β = 90.00°, γ = 90.00°
Last column: magnetic moment on the atom in μB.
Fractional positions:
Np 0.2500 0.9597 0.5809  3.43
Np 0.7500 0.0403 0.4191  3.43
Pd 0.2500 0.4577 0.0649  0.01
Pd 0.7500 0.5423 0.9351  0.01
Pd 0.2500 0.1598 0.1745  0.00
Pd 0.7500 0.8402 0.8255  0.00
Pd 0.2500 0.6698 0.6676  -0.06
Pd 0.7500 0.3302 0.3324  -0.06
Pd 0.2500 0.2767 0.4742  -0.02
Pd 0.7500 0.7233 0.5258  -0.02
Pd 0.2500 0.8575 0.2611  -0.01
Pd 0.7500 0.1425 0.7389  -0.01
Pd 0.2500 0.0658 0.8712  -0.07
Pd 0.7500 0.9342 0.1288  -0.07
Au 0.2500 0.5569 0.3593  0.01
Au 0.7500 0.4431 0.6407  0.01
Au 0.2500 0.3715 0.7750  0.01
Au 0.7500 0.6285 0.2250  0.01
Au 0.2500 0.7684 0.9658  0.00
Au 0.7500 0.2316 0.0342  0.00

Computed properties:
Relative energy among the computed polymorphs, eV/atom: 0.000
Calculated density, g cm⁻³: 14.2
Symmetry: P2_1/m
E, eV per atom: -5.567
Calculated volume, Å³/cell: 342


# 5
Entry from Alexandria: an optimized crystal structure of Ho4AsP3 (PBE).

a = 4.0149 Å, b = 6.9544 Å, c = 6.9544 Å
α = 70.55°, β = 90.00°, γ = 90.00°
Fractional positions:
P 0.5000 0.0001 0.5000
P 0.0000 0.0001 0.0000
P 0.0000 0.5001 0.5000
As 0.5000 0.5001 0.0000
Ho 0.0000 0.7548 0.7453
Ho 0.5000 0.7524 0.2523
Ho 0.0000 0.2454 0.2547
Ho 0.4999 0.2478 0.7477

Computed properties:
Calculated density, g cm⁻³: 7.5
Symmetry: Cmmm
E, eV per atom: -6.488
Calculated volume, Å³/cell: 183


# 6
Entry from Alexandria: an optimized crystal structure of Ag3Ir5 (PBE).

a = 9.7302 Å, b = 10.1519 Å, c = 6.2272 Å
α = 99.92°, β = 88.10°, γ = 152.38°
Fractional positions:
Ir 0.0939 0.7657 0.7736
Ir 0.2908 0.0876 0.2263
Ir 0.1958 0.6006 0.6375
Ir 0.2346 0.4819 0.9311
Ir 0.4847 0.2200 0.6392
Ir 0.5161 0.7808 0.3617
Ir 0.7662 0.5190 0.0697
Ir 0.8050 0.4002 0.3633
Ir 0.7100 0.9132 0.7746
Ir 0.9068 0.2351 0.2272
Ag 0.2013 0.2885 0.4990
Ag 0.2289 0.1975 0.8930
Ag 0.2879 0.7982 0.1531
Ag 0.7129 0.2026 0.8478
Ag 0.7718 0.8033 0.1078
Ag 0.7995 0.7123 0.5019

Computed properties:
Relative energy among the computed polymorphs, eV/atom: 0.000
Calculated density, g cm⁻³: 15.7
Symmetry: P-1
E, eV per atom: -6.157
Calculated volume, Å³/cell: 271


# 7
Entry from Alexandria: an optimized crystal structure of LiHg2OsO6 (PBE).

a = 5.6200 Å, b = 5.5202 Å, c = 8.1365 Å
α = 90.00°, β = 90.31°, γ = 90.00°
Fractional positions:
Li 0.5000 0.0000 0.0000
Li 0.0000 0.5000 0.5000
Hg 0.9993 0.9723 0.2589
Hg 0.4993 0.5277 0.7589
Hg 0.0007 0.0277 0.7411
Hg 0.5007 0.4723 0.2411
Os 0.5000 0.0000 0.5000
Os 0.0000 0.5000 0.0000
O 0.2895 0.6738 0.0314
O 0.7895 0.8262 0.5314
O 0.7105 0.3262 0.9686
O 0.2105 0.1738 0.4686
O 0.3400 0.7117 0.4412
O 0.8400 0.7883 0.9412
O 0.6600 0.2883 0.5588
O 0.1600 0.2117 0.0588
O 0.9178 0.5581 0.2267
O 0.4178 0.9419 0.7267
O 0.0822 0.4419 0.7733
O 0.5822 0.0581 0.2733

Computed properties:
Calculated density, g cm⁻³: 9.1
Symmetry: P2_1/c
Energy relative to the elements, uncorrected, eV/atom: -0.77
E, eV per atom: -5.123
Calculated volume, Å³/cell: 252


# 8
Entry from Alexandria: an optimized crystal structure of ZrSc2Mn (PBE).

a = 3.2364 Å, b = 3.2364 Å, c = 7.7664 Å
α = 90.00°, β = 90.00°, γ = 90.00°
Last column: magnetic moment on the atom in μB.
Fractional positions:
Mn 0.5000 0.5000 0.7403  0.82
Sc 0.0000 0.0000 0.9423  -0.11
Sc 0.5000 0.5000 0.2652  0.37
Zr 0.0000 0.0000 0.5522  0.06

Computed properties:
Relative energy among the computed polymorphs, eV/atom: 0.010
Calculated density, g cm⁻³: 4.8
Symmetry: P4mm
E, eV per atom: -7.554
Calculated volume, Å³/cell: 81


# 9
Entry from Alexandria: an optimized crystal structure of Mn2Si4Ni (PBE).

a = 4.3887 Å, b = 4.3887 Å, c = 6.5860 Å
α = 70.54°, β = 70.54°, γ = 90.00°
Last column: magnetic moment on the atom in μB.
Fractional positions:
Ni 0.0000 0.0000 0.0000  -0.01
Si 0.1926 0.1926 0.6148  -0.05
Si 0.8074 0.8074 0.3852  -0.05
Si 0.0000 0.5000 0.0000  -0.07
Si 0.5000 0.0000 0.0000  -0.07
Mn 0.3936 0.3936 0.2129  2.76
Mn 0.6064 0.6064 0.7871  2.76

Computed properties:
Calculated density, g cm⁻³: 4.2
Symmetry: I4/mmm
Energy relative to the elements, uncorrected, eV/atom: 0.37
E, eV per atom: -6.173
Calculated volume, Å³/cell: 112


# 10
Entry from Alexandria: an optimized crystal structure of AcNd6Sm6 (PBE).

a = 6.8073 Å, b = 6.8073 Å, c = 11.7119 Å
α = 90.00°, β = 90.00°, γ = 120.00°
Fractional positions:
Ac 0.0000 0.0000 0.0000
Nd 0.0000 0.0000 0.6446
Nd 0.0000 0.0000 0.3554
Nd 0.3333 0.6666 0.0000
Nd 0.6667 0.3334 0.0000
Nd 0.3333 0.6667 0.5000
Nd 0.6667 0.3333 0.5000
Sm 0.0000 0.5000 0.7488
Sm 0.5000 0.0000 0.7488
Sm 0.5000 0.5000 0.7488
Sm 0.5000 0.0000 0.2512
Sm 0.0000 0.5000 0.2512
Sm 0.5000 0.5000 0.2512

Computed properties:
Calculated density, g cm⁻³: 7.0
Symmetry: P6/mmm
E, eV per atom: -4.468
Calculated volume, Å³/cell: 470


# 11
Entry from Alexandria: an optimized crystal structure of RbI2Br (PBE).

a = 4.9061 Å, b = 4.9061 Å, c = 9.1832 Å
α = 90.00°, β = 90.00°, γ = 90.00°
Fractional positions:
Rb 0.0000 0.0000 0.0000
I 0.5000 0.5000 0.3491
I 0.5000 0.5000 0.6509
Br 0.5000 0.5000 0.0000

Computed properties:
Calculated density, g cm⁻³: 3.1
Symmetry: P4/mmm
Energy relative to the elements, uncorrected, eV/atom: -0.84
E, eV per atom: -2.272
Calculated volume, Å³/cell: 221


# 12
Entry from Alexandria: an optimized crystal structure of Zn3W2 (PBE).

a = 4.3811 Å, b = 4.3811 Å, c = 5.3668 Å
α = 90.00°, β = 90.00°, γ = 120.00°
Fractional positions:
Zn 0.0000 0.0000 0.0000
Zn 0.6667 0.3333 0.6043
Zn 0.3333 0.6667 0.3957
W 0.6667 0.3333 0.0981
W 0.3333 0.6667 0.9019

Computed properties:
Relative energy among the computed polymorphs, eV/atom: 0.187
Calculated density, g cm⁻³: 10.5
Symmetry: P-3m1
E, eV per atom: -5.451
Calculated volume, Å³/cell: 89


# 13
Entry from Alexandria: an optimized crystal structure of Sm2Ni3As4Ir (PBE).

a = 4.2115 Å, b = 4.2115 Å, c = 9.6285 Å
α = 90.00°, β = 90.00°, γ = 90.00°
Fractional positions:
Sm 0.5000 0.0000 0.2468
Sm 0.0000 0.5000 0.7532
Ni 0.0000 0.0000 0.5000
Ni 0.5000 0.0000 0.8823
Ni 0.0000 0.5000 0.1177
As 0.5000 0.5000 0.0000
As 0.0000 0.0000 0.0000
As 0.5000 0.0000 0.6382
As 0.0000 0.5000 0.3618
Ir 0.5000 0.5000 0.5000

Computed properties:
Calculated density, g cm⁻³: 9.4
Symmetry: P-4m2
E, eV per atom: -6.208
Calculated volume, Å³/cell: 171


# 14
Entry from Alexandria: an optimized crystal structure of BeRuPt2 (PBE).

a = 4.6621 Å, b = 4.6621 Å, c = 4.6621 Å
α = 131.91°, β = 131.91°, γ = 70.37°
Fractional positions:
Ru 0.2500 0.7500 0.5000
Pt 0.0000 0.0000 0.0000
Pt 0.5000 0.5000 0.0000
Be 0.7500 0.2500 0.5000

Computed properties:
Calculated density, g cm⁻³: 15.1
Symmetry: I4/mmm
E, eV per atom: -6.402
Calculated volume, Å³/cell: 55


# 15
Entry from Alexandria: an optimized crystal structure of Nb2GaReH (PBE).

a = 4.1694 Å, b = 3.9397 Å, c = 4.1694 Å
α = 90.00°, β = 90.00°, γ = 90.00°
Fractional positions:
Re 0.0000 0.5000 0.0000
Nb 0.0000 0.0000 0.5000
Nb 0.5000 0.0000 0.0000
Ga 0.5000 0.5000 0.5000
H 0.0000 0.0000 0.0000

Computed properties:
Calculated density, g cm⁻³: 10.7
Symmetry: P4/mmm
E, eV per atom: -7.893
Calculated volume, Å³/cell: 68


# 16
Entry from Alexandria: an optimized crystal structure of TbPm4S6 (PBE).

a = 3.9119 Å, b = 6.9215 Å, c = 20.2802 Å
α = 90.00°, β = 90.00°, γ = 106.42°
Fractional positions:
Tb 0.6528 0.3055 0.2500
Tb 0.3472 0.6945 0.7500
Pm 0.8603 0.7206 0.5406
Pm 0.4097 0.8194 0.1296
Pm 0.1397 0.2794 0.4594
Pm 0.5903 0.1806 0.8704
Pm 0.8603 0.7206 0.9594
Pm 0.1397 0.2794 0.0406
Pm 0.5903 0.1806 0.6296
Pm 0.4097 0.8194 0.3704
S 0.5000 0.0000 0.0000
S 0.5000 0.0000 0.5000
S 0.0540 0.1081 0.3303
S 0.9460 0.8919 0.6697
S 0.9460 0.8919 0.8303
S 0.0540 0.1081 0.1697
S 0.7707 0.5413 0.4097
S 0.2293 0.4587 0.5903
S 0.2293 0.4587 0.9097
S 0.7707 0.5413 0.0903
S 0.3009 0.6019 0.2500
S 0.6991 0.3981 0.7500

Computed properties:
Calculated density, g cm⁻³: 5.9
Symmetry: Cmcm
Energy relative to the elements, uncorrected, eV/atom: -2.03
E, eV per atom: -6.432
Calculated volume, Å³/cell: 527


# 17
Entry from Alexandria: an optimized crystal structure of NdDy2Y6Ho3 (PBE).

a = 6.1692 Å, b = 6.1692 Å, c = 11.8121 Å
α = 94.97°, β = 94.97°, γ = 119.94°
Fractional positions:
Nd 0.0000 0.0000 0.0000
Dy 0.3334 0.6666 0.0000
Dy 0.6666 0.3334 0.0000
Y 0.9155 0.5817 0.7483
Y 0.7504 0.7504 0.2516
Y 0.0845 0.4183 0.2517
Y 0.5817 0.9155 0.7483
Y 0.2496 0.2496 0.7484
Y 0.4183 0.0845 0.2517
Ho 0.1669 0.8331 0.5000
Ho 0.8331 0.1669 0.5000
Ho 0.5000 0.5000 0.5000

Computed properties:
Calculated density, g cm⁻³: 6.5
Symmetry: C2/m
E, eV per atom: -5.520
Calculated volume, Å³/cell: 384


# 18
Entry from Alexandria: an optimized crystal structure of Re2SbMo (PBE).

a = 3.1782 Å, b = 3.1782 Å, c = 6.5464 Å
α = 90.00°, β = 90.00°, γ = 90.00°
Fractional positions:
Mo 0.5000 0.5000 0.7500
Re 0.0000 0.0000 0.9881
Re 0.0000 0.0000 0.5119
Sb 0.5000 0.5000 0.2500

Computed properties:
Calculated density, g cm⁻³: 14.8
Symmetry: P4/mmm
Energy relative to the elements, uncorrected, eV/atom: 0.38
E, eV per atom: -9.584
Calculated volume, Å³/cell: 66


# 19
Entry from Alexandria: an optimized crystal structure of Li3Si2Pd4 (PBE).

a = 4.1663 Å, b = 4.1655 Å, c = 7.9927 Å
α = 90.02°, β = 90.00°, γ = 59.99°
Fractional positions:
Li 0.3333 0.3335 0.4496
Li 0.0000 0.0000 0.0000
Li 0.6667 0.6665 0.5504
Si 0.3335 0.3330 0.7841
Si 0.6665 0.6670 0.2159
Pd 0.6667 0.6665 0.8932
Pd 0.9998 0.0004 0.3147
Pd 0.0002 0.9996 0.6853
Pd 0.3333 0.3335 0.1068

Computed properties:
Relative energy among the computed polymorphs, eV/atom: 0.000
Calculated density, g cm⁻³: 6.9
Symmetry: P-3m1
Energy relative to the elements, uncorrected, eV/atom: -0.65
E, eV per atom: -4.797
Calculated volume, Å³/cell: 120


# 20
Entry from Alexandria: an optimized crystal structure of NaZr2PdF11 (PBE).

a = 5.8553 Å, b = 5.8553 Å, c = 7.9585 Å
α = 69.52°, β = 69.52°, γ = 73.00°
Last column: magnetic moment on the atom in μB.
Fractional positions:
Na 0.0000 0.0000 0.0000  0.00
Zr 0.5002 0.5002 0.7681  0.02
Zr 0.4998 0.4998 0.2319  0.02
Pd 0.0000 0.0000 0.5000  1.53
F 0.2193 0.8000 0.7002  0.06
F 0.2000 0.7807 0.2998  0.06
F 0.7807 0.2000 0.2998  0.06
F 0.8000 0.2193 0.7002  0.06
F 0.5000 0.5000 0.5000  0.00
F 0.6677 0.3323 0.0000  0.00
F 0.3323 0.6677 0.0000  0.00
F 0.2587 0.2587 0.3495  0.06
F 0.7413 0.7413 0.6505  0.06
F 0.2659 0.2659 0.8893  0.00
F 0.7341 0.7341 0.1107  0.00

Computed properties:
Calculated density, g cm⁻³: 3.7
Symmetry: C2/m
Energy relative to the elements, uncorrected, eV/atom: -3.08
E, eV per atom: -6.022
Calculated volume, Å³/cell: 235